No. 1
GGA-PBE PrEuH2, relaxed; space-group type = R-3m (166); electronic total energy = -0.427 Ry per atom; calculated density = 7.016 g cm⁻³
1.0
3.654 0.000 0.000
-1.827 3.164 0.000
0.000 0.000 18.112
Pr Eu H
3 3 6
direct
0.000 0.000 0.000
0.333 0.667 0.667
0.667 0.333 0.333
0.000 0.000 0.500
0.333 0.667 0.167
0.667 0.333 0.833
0.000 0.000 0.253
0.000 0.000 0.747
0.333 0.667 0.414
0.333 0.667 0.920
0.667 0.333 0.080
0.667 0.333 0.586



No. 2
GGA-PBE NpReSn, relaxed; space-group type = P4/nmm (129); electronic total energy = -0.692 Ry per atom; calculated density = 13.952 g cm⁻³
1.0
3.245 0.000 0.000
0.000 3.245 0.000
0.000 0.000 12.253
Np Re Sn
2 2 2
direct
0.250 0.250 0.040
0.750 0.750 0.960
0.250 0.250 0.547
0.750 0.750 0.453
0.250 0.250 0.771
0.750 0.750 0.229



No. 3
GGA-PBE GdInGa, relaxed; relative energy among the computed polymorphs = 127 meV/atom; space-group type = I4mm (107); calculated density = 7.898 g cm⁻³
1.0
3.486 0.000 0.000
0.000 3.486 0.000
0.000 0.000 11.828
Gd In Ga
2 2 2
direct
0.000 0.000 0.000
0.500 0.500 0.500
0.000 0.000 0.307
0.500 0.500 0.807
0.000 0.000 0.666
0.500 0.500 0.166